Computed, not measured: a geometry-optimized Ba2FeRe structure at the PBE level of DFT.

Total magnetization (μB/f.u.): 0.1
ΔE to the lowest computed polymorph (meV per atom): 0
Raw total energy (eV per cell): -23.025

a = 4.0628 Å, b = 4.0628 Å, c = 9.5647 Å
α = 78.78°, β = 78.78°, γ = 59.97°
Last column: nearest neighbours and their distance in Å.
Positions (direct):
Ba  0.9549  0.9549  0.1141  3 Fe 3.30, 3 Re 3.44
Ba  0.7944  0.7944  0.6387  3 Re 3.33, 3 Fe 3.48
Fe  0.5453  0.5453  0.3627  3 Re 2.35
Re  0.2054  0.2054  0.3845  3 Fe 2.35